The following is a DFT calculation (PBE) of a geometry-optimized Hf6VIn3 structure.

Lattice parameters (Å, degrees): 5.377 8.684 9.566 90.00 90.64 90.00
Site moments in Bohr magnetons follow the coordinates.
Positions (direct):
Hf: 0.156 0.122 0.768  -0.01
Hf: 0.344 0.622 0.732  -0.01
In: 0.000 0.000 0.500  0.00
In: 0.337 0.087 0.248  0.00
Hf: 0.656 0.378 0.268  -0.01
In: 0.663 0.913 0.752  0.00
V: 0.000 0.000 0.000  0.52
Hf: 0.583 0.168 0.965  0.00
Hf: 0.563 0.189 0.549  -0.02
Hf: 0.844 0.878 0.232  -0.01
Hf: 0.937 0.689 0.951  -0.02
In: 0.837 0.413 0.748  0.00
Hf: 0.417 0.832 0.035  0.00
In: 0.163 0.587 0.252  0.00
Hf: 0.083 0.332 0.465  0.00
In: 0.500 0.500 0.000  0.00
Hf: 0.437 0.811 0.451  -0.02
Hf: 0.917 0.668 0.535  0.00
V: 0.500 0.500 0.500  0.52
Hf: 0.063 0.311 0.049  -0.02

Output
space-group type	P2_1/c, No. 14
DFT formation energy	0.144	eV per atom
DOS(E_F)	20.91	states/eV per cell
uncorrected energy	-7.562	eV per atom

---

The following is a DFT calculation (PBE) of a geometry-optimized K3Bi2Sb2 structure.

Lattice parameters (Å, degrees): 4.528 6.804 9.817 73.79 76.64 70.59
Positions (direct):
Bi: 0.766 0.076 0.393
K: 0.000 0.000 0.000
K: 0.480 0.341 0.700
Sb: 0.256 0.398 0.090
K: 0.520 0.659 0.300
Sb: 0.744 0.602 0.910
Bi: 0.234 0.924 0.607

Output
space-group type	C2/m, No. 12
E_form (uncorrected)	-0.30	eV/atom
DOS(E_F)	2.16	states/eV per cell
uncorrected energy	-3.057	eV per atom

---

The following is a DFT calculation (PBE) of a geometry-optimized CrCu3Ni6 structure.

Lattice parameters (Å, degrees): 4.646 4.646 6.331 90.00 90.00 120.00
Positions (direct):
Cu: 0.333 0.667 0.500
Ni: 0.000 0.421 0.819
Ni: 0.000 0.579 0.181
Ni: 0.421 0.000 0.819
Ni: 0.421 0.421 0.181
Ni: 0.579 0.579 0.819
Cu: 0.667 0.333 0.500
Cr: 0.000 0.000 0.000
Cu: 0.000 0.000 0.500
Ni: 0.579 0.000 0.181

Output
space-group type	P-31m, No. 162
DFT formation energy	0.231	eV per atom
DOS(E_F)	10.56	states/eV per cell
uncorrected energy	-5.429	eV per atom

---

The following is a DFT calculation (PBE) of a geometry-optimized ZrAlSe structure.

Lattice parameters (Å, degrees): 4.536 4.536 4.536 60.00 60.00 60.00
Positions (direct):
Zr: 0.000 0.000 0.000
Al: 0.500 0.500 0.500
Se: 0.750 0.750 0.750

Output
space-group type	F-43m, No. 216
E_form (uncorrected)	-0.14	eV/atom
energy above the lowest structure with this stoichiometry	716	meV per atom
DOS(E_F)	3.18	states/eV per cell
uncorrected energy	-5.398	eV per atom

---

The following is a DFT calculation (PBE) of a geometry-optimized As3OsPt structure.

Lattice parameters (Å, degrees): 4.746 4.746 4.746 90.00 90.00 90.00
Positions (direct):
Pt: 0.500 0.500 0.500
Os: 0.000 0.000 0.000
As: 0.000 0.000 0.500
As: 0.500 0.000 0.000
As: 0.000 0.500 0.000

Output
space-group type	Pm-3m, No. 221
DFT formation energy	0.857	eV per atom
energy above the lowest structure with this stoichiometry	0	meV per atom
DOS(E_F)	4.81	states/eV per cell
uncorrected energy	-5.387	eV per atom

---

The following is a DFT calculation (PBE) of a geometry-optimized Ba2MnNbBi structure.

Lattice parameters (Å, degrees): 6.250 4.394 6.250 90.00 90.00 90.00
Positions (direct):
Ba: 0.500 0.000 0.000
Mn: 0.000 0.000 0.000
Nb: 0.000 0.500 0.000
Ba: 0.000 0.000 0.500
Bi: 0.500 0.500 0.500

Output
space-group type	P4/mmm, No. 123
DFT formation energy	0.522	eV per atom
DOS(E_F)	4.80	states/eV per cell
uncorrected energy	-4.871	eV per atom